1.
The following is a DFT calculation (PBE) of a geometry-optimized TaCr2InMo structure.

Values from the calculation:
Its formation energy is 2.344 eV per atom.

Cell lengths 4.5489, 4.5489, 4.8755 Å; angles 90.00, 90.00, 90.00 degrees
Space group P4/mmm (No. 123)
Symmetry-distinct sites (fractional):
Ta 0.0000 0.0000 0.0000 [1 per cell]
Cr 0.0000 0.5000 0.5000 [2 per cell]
In 0.5000 0.5000 0.5000 [1 per cell]
Mo 0.5000 0.5000 0.0000 [1 per cell]

=====

2.
The following is a DFT calculation (PBE) of a geometry-optimized Cu3ReOs structure.

Values from the calculation:
Its formation energy is 2.133 eV per atom.

Cell lengths 4.5466, 4.5466, 4.5466 Å; angles 90.00, 90.00, 90.00 degrees
Space group Pm-3m (No. 221)
Symmetry-distinct sites (fractional):
Cu 0.0000 0.0000 0.5000 [3 per cell]
Re 0.5000 0.5000 0.5000 [1 per cell]
Os 0.0000 0.0000 0.0000 [1 per cell]

=====

3.
The following is a DFT calculation (PBE) of a geometry-optimized TmZnSn structure.

Values from the calculation:
Its formation energy is -0.528 eV per atom.

Cell lengths 4.4815, 4.4815, 15.6231 Å; angles 90.00, 90.00, 120.00 degrees
Space group P6_3/mmc (No. 194)
Symmetry-distinct sites (fractional):
Tm 0.0000 0.0000 0.0000 [2 per cell]
Tm 0.0000 0.0000 0.2500 [2 per cell]
Zn 0.3333 0.6667 0.1618 [4 per cell]
Sn 0.3333 0.6667 0.6121 [4 per cell]

=====

4.
The following is a DFT calculation (PBE) of a geometry-optimized GdErCdTc structure.

Values from the calculation:
Its formation energy is -0.090 eV per atom.

Cell lengths 7.1304, 7.1304, 7.1304 Å; angles 90.00, 90.00, 90.00 degrees
Space group F-43m (No. 216)
Symmetry-distinct sites (fractional):
Gd 0.0000 0.0000 0.0000 [4 per cell]
Er 0.0000 0.0000 0.5000 [4 per cell]
Cd 0.2500 0.2500 0.7500 [4 per cell]
Tc 0.2500 0.2500 0.2500 [4 per cell]

=====

5.
The following is a DFT calculation (PBE) of a geometry-optimized CsTeO3 structure.

Values from the calculation:
The energy relative to the elements, uncorrected is -1.101 eV/atom.

Cell lengths 5.9866, 6.4255, 6.3573 Å; angles 90.00, 90.88, 90.00 degrees
Space group P2/c (No. 13)
Symmetry-distinct sites (fractional):
Cs 0.0000 0.1789 0.2500 [2 per cell]
Te 0.5000 0.4292 0.7500 [2 per cell]
O 0.2858 0.4984 0.9976 [4 per cell]
O 0.5000 0.1449 0.7500 [2 per cell]

=====

6.
The following is a DFT calculation (PBE) of a geometry-optimized ZnPt3I structure.

Values from the calculation:
The energy relative to the elements, uncorrected is 0.782 eV/atom.

Cell lengths 4.7132, 4.7132, 4.7132 Å; angles 90.00, 90.00, 90.00 degrees
Space group Pm-3m (No. 221)
Symmetry-distinct sites (fractional):
Zn 0.0000 0.0000 0.0000 [1 per cell]
Pt 0.0000 0.0000 0.5000 [3 per cell]
I 0.5000 0.5000 0.5000 [1 per cell]

=====

7.
The following is a DFT calculation (PBE) of a geometry-optimized PmMg2AgHg4 structure.

Values from the calculation:
Its formation energy is -0.260 eV per atom.

Cell lengths 4.8551, 4.8551, 26.7620 Å; angles 90.00, 90.00, 120.00 degrees
Space group R-3m (No. 166, hexagonal axes)
Symmetry-distinct sites (fractional):
Pm 0.0000 0.0000 0.0000 [3 per cell]
Mg 0.0000 0.0000 0.2414 [6 per cell]
Ag 0.0000 0.0000 0.5000 [3 per cell]
Hg 0.0000 0.0000 0.1250 [6 per cell]
Hg 0.0000 0.0000 0.3858 [6 per cell]

=====

8.
The following is a DFT calculation (PBE) of a geometry-optimized Ce2TlGe structure.

Values from the calculation:
Its formation energy is -0.480 eV per atom.

Cell lengths 3.9384, 3.9384, 6.7529 Å; angles 90.00, 90.00, 90.00 degrees
Space group P4/mmm (No. 123)
Symmetry-distinct sites (fractional):
Ce 0.0000 0.0000 0.2039 [2 per cell]
Tl 0.5000 0.5000 0.5000 [1 per cell]
Ge 0.5000 0.5000 0.0000 [1 per cell]

=====

9.
The following is a DFT calculation (PBE) of a geometry-optimized SmHoEr3Sc structure.

Values from the calculation:
Its formation energy is 0.038 eV per atom.

Cell lengths 4.9327, 14.7982, 9.8848 Å; angles 90.00, 90.00, 90.00 degrees
Space group Cmcm (No. 63)
Symmetry-distinct sites (fractional):
Sm 0.0000 0.0021 0.2500 [4 per cell]
Ho 0.0000 0.5000 0.0000 [4 per cell]
Er 0.0000 0.1678 0.0002 [8 per cell]
Er 0.0000 0.3306 0.2500 [4 per cell]
Sc 0.0000 0.3319 0.7500 [4 per cell]

=====

10.
The following is a DFT calculation (PBE) of a geometry-optimized MoRh2Br structure.

Values from the calculation:
The energy relative to the elements, uncorrected is 0.224 eV/atom.

Cell lengths 2.8875, 2.8875, 7.9479 Å; angles 90.00, 90.00, 90.00 degrees
Space group P4/mmm (No. 123)
Symmetry-distinct sites (fractional):
Mo 0.0000 0.0000 0.0000 [1 per cell]
Rh 0.5000 0.5000 0.2233 [2 per cell]
Br 0.0000 0.0000 0.5000 [1 per cell]

=====

11.
The following is a DFT calculation (PBE) of a geometry-optimized Sc2P3Ir5 structure.

Values from the calculation:
Its formation energy is -0.794 eV per atom.

Cell lengths 4.0108, 23.4022, 6.3759 Å; angles 90.00, 90.00, 90.00 degrees
Space group Cmc2_1 (No. 36)
Symmetry-distinct sites (fractional):
Sc 0.0000 0.0228 0.0000 [4 per cell]
Sc 0.0000 0.3235 0.0688 [4 per cell]
P 0.0000 0.1092 0.7427 [4 per cell]
P 0.0000 0.2797 0.6367 [4 per cell]
P 0.0000 0.4590 0.7948 [4 per cell]
Ir 0.0000 0.0982 0.3697 [4 per cell]
Ir 0.0000 0.1940 0.9066 [4 per cell]
Ir 0.0000 0.2258 0.3290 [4 per cell]
Ir 0.0000 0.3816 0.5664 [4 per cell]
Ir 0.0000 0.4441 0.1650 [4 per cell]

=====

12.
The following is a DFT calculation (PBE) of a geometry-optimized TaTc2Mo structure.

Values from the calculation:
Its formation energy is 0.177 eV per atom.

Cell lengths 2.7890, 2.7890, 28.4771 Å; angles 90.00, 90.00, 120.00 degrees
Space group R3m (No. 160, hexagonal axes)
Symmetry-distinct sites (fractional):
Ta 0.0000 0.0000 0.0000 [3 per cell]
Tc 0.0000 0.0000 0.2467 [3 per cell]
Tc 0.0000 0.0000 0.5049 [3 per cell]
Mo 0.0000 0.0000 0.7563 [3 per cell]

=====

Number 1: total DFT energy (no corrections) -32.95 eV/f.u.. Number 2: total DFT energy (no corrections) -25.30 eV/f.u.. Number 3: total DFT energy (no corrections) -11.33 eV/f.u.. Number 4: total DFT energy (no corrections) -30.28 eV/f.u.. Number 5: total DFT energy (no corrections) -24.37 eV/f.u.. Number 6: total DFT energy (no corrections) -17.03 eV/f.u.. Number 7: total DFT energy (no corrections) -14.08 eV/f.u.. Number 8: total DFT energy (no corrections) -20.77 eV/f.u.. Number 9: total DFT energy (no corrections) -29.09 eV/f.u.. Number 10: total DFT energy (no corrections) -26.31 eV/f.u.. Number 11: total DFT energy (no corrections) -81.14 eV/f.u.. Number 12: total DFT energy (no corrections) -42.71 eV/f.u..